No. 1
! PBEsol RbSr2ZrMo, relaxed; values from VASP
! **Total moment**: 0.64 μB/cell
! **DOS at the Fermi energy**: 4.50 states/eV/cell
! **Total DFT energy (no corrections)**: -4.130 eV/atom
! **Calculated volume**: 201 Å³/cell
&SYSTEM
  ibrav = 0, nat = 5, ntyp = 4
/
ATOMIC_SPECIES
Rb 85.47 Rb.upf
Sr 87.62 Sr.upf
Zr 91.22 Zr.upf
Mo 95.94 Mo.upf
CELL_PARAMETERS angstrom
6.499 0.000 0.000
0.000 6.499 0.000
0.000 0.000 4.748
ATOMIC_POSITIONS angstrom
Rb 0.000 0.000 0.000
Sr 0.000 3.250 2.374
Sr 3.250 0.000 2.374
Zr 3.250 3.250 2.374
Mo 3.250 3.250 0.000

=====

No. 2
! PBEsol Tl3SnSe4, relaxed; values from VASP
! **Raw formation energy**: -0.27 eV per atom
! **Total moment**: 0.00 μB/cell
! **DOS at the Fermi energy**: 11.29 states/eV/cell
! **Calculated volume**: 945 Å³/cell
&SYSTEM
  ibrav = 0, nat = 32, ntyp = 3
/
ATOMIC_SPECIES
Tl 204.38 Tl.upf
Sn 118.71 Sn.upf
Se 78.96 Se.upf
CELL_PARAMETERS angstrom
7.889 0.000 0.000
0.000 8.285 0.000
-1.650 0.000 14.453
ATOMIC_POSITIONS angstrom
Tl -0.606 0.364 5.630
Tl -1.431 3.778 12.857
Tl 0.812 5.026 9.363
Tl 1.637 7.401 2.136
Tl 2.005 1.381 8.895
Tl 2.830 2.761 1.669
Tl 3.409 5.524 12.785
Tl 4.234 6.904 5.558
Tl 4.602 0.884 12.317
Tl 5.427 3.259 5.091
Tl 7.670 4.507 1.596
Tl 6.845 7.921 8.823
Sn 0.953 5.038 5.462
Sn 0.128 7.389 12.689
Sn 6.111 0.896 1.765
Sn 5.286 3.246 8.991
Se 0.162 1.810 3.188
Se -0.662 2.332 10.415
Se -0.333 1.152 14.121
Se 0.492 2.990 6.894
Se 0.830 5.408 14.197
Se 1.655 7.019 6.970
Se 2.953 4.849 3.867
Se 2.128 7.579 11.094
Se 4.111 0.706 3.359
Se 3.286 3.436 10.586
Se 4.584 1.266 7.483
Se 5.409 2.877 0.257
Se 5.747 5.295 7.559
Se 6.572 7.132 0.332
Se 6.902 5.952 4.039
Se 6.077 6.475 11.265